Entry 1:
# LiPm2GeO6

A relaxed LiPm2GeO6 crystal (PBE, Alexandria via LeMat-Bulk).

abc: 5.1991 5.1991 4.6660
angles: 90.00 90.00 90.00
With the nearest neighbours (Å) after each atom.
Positions (direct):
Li  0.0000  0.0000  0.0000  5 O 1.99-2.00
Pm  0.0000  0.5000  0.4476  4 O 2.38
Pm  0.5000  0.0000  0.4476  4 O 2.38
Ge  0.5000  0.5000  0.0105  5 O 1.80-1.85
O  0.0000  0.0000  0.5733  1 Li 1.99
O  0.2597  0.2597  0.1244  1 Ge 1.85, 1 Li 2.00
O  0.2597  0.7403  0.1244  1 Ge 1.85, 1 Li 2.00
O  0.5000  0.5000  0.6238  1 Ge 1.80
O  0.7403  0.2597  0.1244  1 Ge 1.85, 1 Li 2.00
O  0.7403  0.7403  0.1244  1 Ge 1.85, 1 Li 2.00

Calculated values
- E_form (uncorrected) (eV/atom) = -2.370

***

Entry 2:
# SrSc

A relaxed SrSc crystal (PBE, Alexandria via LeMat-Bulk).

abc: 6.3084 6.3084 6.3084
angles: 130.00 130.00 73.41
With the nearest neighbours (Å) after each atom.
Positions (direct):
Sr  0.3750  0.6250  0.7500  8 Sc 3.67-3.77, 4 Sr 3.67
Sr  0.6250  0.3750  0.2500  8 Sc 3.67-3.77, 4 Sr 3.67
Sc  0.1250  0.8750  0.2500  4 Sc 3.67, 8 Sr 3.67-3.77
Sc  0.8750  0.1250  0.7500  4 Sc 3.67, 8 Sr 3.67-3.77

Calculated values
- ΔE to the lowest computed polymorph (meV/atom) = 196

***

Entry 3:
# ZrMoI2

A relaxed ZrMoI2 crystal (PBE, Alexandria via LeMat-Bulk).

abc: 7.3474 7.3474 7.3474
angles: 126.71 126.71 78.73
With the nearest neighbours (Å) after each atom.
Positions (direct):
Zr  0.0000  0.0000  0.0000  4 I 2.84
Zr  0.7500  0.2500  0.5000  4 I 2.84
Mo  0.2500  0.7500  0.5000  4 I 2.63
Mo  0.5000  0.5000  0.0000  4 I 2.63
I  0.1512  0.6250  0.0262  2 Mo 2.63, 2 Zr 2.84
I  0.3750  0.4012  0.5262  2 Mo 2.63, 2 Zr 2.84
I  0.5988  0.1250  0.9738  2 Mo 2.63, 2 Zr 2.84
I  0.8750  0.8488  0.4738  2 Mo 2.63, 2 Zr 2.84

Calculated values
- E_form (uncorrected) (eV/atom) = 0.968
- ΔE to the lowest computed polymorph (meV/atom) = 396

***

Entry 4:
# TaZnCd

A relaxed TaZnCd crystal (PBE, Alexandria via LeMat-Bulk).

abc: 2.9306 2.9306 7.3344
angles: 90.00 90.00 120.00
With the nearest neighbours (Å) after each atom.
Positions (direct):
Ta  0.0000  0.0000  0.0000  3 Zn 2.86, 6 Ta 2.93, 3 Cd 3.09
Zn  0.3333  0.6667  0.3141  3 Ta 2.86, 6 Zn 2.93, 3 Cd 2.97
Cd  0.6667  0.3333  0.6471  6 Cd 2.93, 3 Zn 2.97, 3 Ta 3.09

Calculated values
- ΔE to the lowest computed polymorph (meV/atom) = 128

***

Entry 5:
# PrZrIn6

A relaxed PrZrIn6 crystal (PBE, Alexandria via LeMat-Bulk).

abc: 4.6435 4.6435 9.1816
angles: 90.00 90.00 90.00
With the nearest neighbours (Å) after each atom.
Positions (direct):
Pr  0.0000  0.0000  0.0000  12 In 3.28-3.34
Zr  0.0000  0.0000  0.5000  12 In 3.19-3.28
In  0.0000  0.5000  0.2620  8 In 3.19-3.34, 2 Zr 3.19, 2 Pr 3.34
In  0.0000  0.5000  0.7380  8 In 3.19-3.34, 2 Zr 3.19, 2 Pr 3.34
In  0.5000  0.0000  0.2620  8 In 3.19-3.34, 2 Zr 3.19, 2 Pr 3.34
In  0.5000  0.0000  0.7380  8 In 3.19-3.34, 2 Zr 3.19, 2 Pr 3.34
In  0.5000  0.5000  0.0000  4 Pr 3.28, 8 In 3.34
In  0.5000  0.5000  0.5000  8 In 3.19, 4 Zr 3.28

Calculated values
- total energy (eV per atom) = -4.0474

***

Entry 6:
# Pr2FeSi4Pt3

A relaxed Pr2FeSi4Pt3 crystal (PBE, Alexandria via LeMat-Bulk).

abc: 4.1924 4.1924 10.0129
angles: 90.00 90.00 90.00
With the nearest neighbours (Å) after each atom.
Positions (direct):
Pr  0.0000  0.5000  0.2484  6 Pt 3.21-3.28, 8 Si 3.22-3.25, 2 Fe 3.28
Pr  0.5000  0.0000  0.7516  6 Pt 3.21-3.28, 8 Si 3.22-3.25, 2 Fe 3.28
Fe  0.0000  0.0000  0.5000  4 Si 2.44
Si  0.0000  0.0000  0.0000  4 Pt 2.45
Si  0.0000  0.5000  0.6251  2 Fe 2.44, 3 Pt 2.44-2.49
Si  0.5000  0.0000  0.3749  2 Fe 2.44, 3 Pt 2.44-2.49
Si  0.5000  0.5000  0.0000  4 Pt 2.45
Pt  0.0000  0.5000  0.8742  5 Si 2.45-2.49
Pt  0.5000  0.0000  0.1258  5 Si 2.45-2.49
Pt  0.5000  0.5000  0.5000  4 Si 2.44

Calculated values
- E_form (uncorrected) (eV/atom) = -0.979

***

no.,size of the total moment (μB per atom)
1,0.0558
2,0.5582
3,0.0001
4,0.0000
5,0.0000
6,0.0000